No. 1
! SCAN TePPb4, PBEsol geometry; values from VASP
! energy relative to the elements, uncorrected = 46 meV per atom
! total magnetization = 0.00 μB per cell
! SG = Pbcn (60)
! calculated total energy = -1401.98 eV per cell
&SYSTEM
  ibrav = 0, nat = 24, ntyp = 3
/
ATOMIC_SPECIES
P 30.97 P.upf
Pb 207.20 Pb.upf
Te 127.60 Te.upf
CELL_PARAMETERS angstrom
6.1522 0.0000 0.0000
0.0000 6.2035 0.0000
0.0000 0.0000 19.8861
ATOMIC_POSITIONS crystal
P 0.2500 0.0000 0.3627
P 0.7500 0.5000 0.1373
P 0.7500 0.0000 0.6373
P 0.2500 0.5000 0.8627
Pb 0.3951 0.2622 0.4621
Pb 0.8951 0.2378 0.0379
Pb 0.1049 0.7378 0.4621
Pb 0.6049 0.7622 0.0379
Pb 0.6049 0.7378 0.5379
Pb 0.1049 0.7622 0.9621
Pb 0.8951 0.2622 0.5379
Pb 0.3951 0.2378 0.9621
Pb 0.4611 0.1735 0.7250
Pb 0.9611 0.3265 0.7750
Pb 0.0389 0.8265 0.7250
Pb 0.5389 0.6735 0.7750
Pb 0.5389 0.8265 0.2750
Pb 0.0389 0.6735 0.2250
Pb 0.9611 0.1735 0.2750
Pb 0.4611 0.3265 0.2250
Te 0.2500 0.5000 0.6272
Te 0.7500 0.0000 0.8728
Te 0.7500 0.5000 0.3728
Te 0.2500 0.0000 0.1272

---

No. 2
! SCAN Te2PPb, PBEsol geometry; values from VASP
! energy relative to the elements, uncorrected = 56 meV per atom
! total magnetization = 0.00 μB per cell
! SG = Pm (6)
! E above lowest polymorph = 0.0077 eV per atom
! calculated total energy = -160.46 eV per cell
&SYSTEM
  ibrav = 0, nat = 4, ntyp = 3
/
ATOMIC_SPECIES
Pb 207.20 Pb.upf
P 30.97 P.upf
Te 127.60 Te.upf
CELL_PARAMETERS angstrom
4.5613 0.0000 0.0000
0.0000 4.5373 0.0478
0.0000 -2.0781 5.6109
ATOMIC_POSITIONS crystal
Pb 0.5000 0.3244 0.7633
P 0.0000 0.5432 0.4939
Te 0.0000 0.9447 0.9123
Te 0.5000 0.6877 0.3304